Record 1
An optimized crystal structure of CaZn2WO6, computed with PBE with a Hubbard U.

The structure belongs to space group R3 (No. 146, hexagonal axes); the cell edges are 5.4529, 5.4529 and 14.4951 Å and the angles 90.00°, 90.00° and 120.00°. The distinct sites, in fractional coordinates, are Ca at (0.0000, 0.0000, 0.0000), Zn at (0.0000, 0.0000, 0.2903), Zn at (0.0000, 0.0000, 0.7492), W at (0.0000, 0.0000, 0.5017), O at (0.0155, 0.7283, 0.4090) and O at (0.0373, 0.3642, 0.2356).

The calculation puts the total energy at -0.226 Ha/atom. The value obtained for the density is 6.02 g/cm³. The calculation puts the total magnetization at 0.0000 μB/atom.

Record 2
An optimized crystal structure of Ca2ZnWO6, computed with PBE with a Hubbard U.

The structure belongs to space group P4mm (No. 99); the cell edges are 5.3120, 5.3120 and 4.9959 Å and the angles 90.00°, 90.00° and 90.00°. The distinct sites, in fractional coordinates, are Ca at (0.0000, 0.5000, 0.0000), Zn at (0.0000, 0.0000, 0.5465), W at (0.5000, 0.5000, 0.5896), O at (0.0000, 0.0000, 0.1680), O at (0.2599, 0.2599, 0.7103) and O at (0.5000, 0.5000, 0.2208).

The calculation puts the total energy at -0.237 Ha/atom. The value obtained for the density is 5.01 g/cm³. The calculation puts the total magnetization at 0.0098 μB/atom.

Record 3
An optimized crystal structure of CaZnWO2, computed with PBE with a Hubbard U.

The structure belongs to space group P4/mmm (No. 123); the cell edges are 4.1588, 4.1588 and 5.1107 Å and the angles 90.00°, 90.00° and 90.00°. The distinct sites, in fractional coordinates, are Ca at (0.0000, 0.0000, 0.0000), Zn at (0.0000, 0.0000, 0.5000), W at (0.5000, 0.5000, 0.0000) and O at (0.0000, 0.5000, 0.5000).

The calculation puts the total energy at -0.131 Ha/atom. The value obtained for the density is 6.04 g/cm³. The calculation puts the total magnetization at 0.8033 μB/atom.

Record 4
An optimized crystal structure of CaZnW2O8, computed with PBE with a Hubbard U.

The structure belongs to space group I-4m2 (No. 119); the cell edges are 7.1362, 7.1362 and 6.8576 Å and the angles 90.00°, 90.00° and 90.00°. The distinct sites, in fractional coordinates, are Ca at (0.0000, 0.0000, 0.0000), Zn at (0.0000, 0.5000, 0.7500), W at (0.0000, 0.0000, 0.5000), W at (0.0000, 0.5000, 0.2500), O at (0.0000, 0.2061, 0.6588) and O at (0.0000, 0.3006, 0.0885).

The calculation puts the total energy at -0.249 Ha/atom. The value obtained for the density is 5.72 g/cm³. The calculation puts the total magnetization at 0.0000 μB/atom.

Record 5
An optimized crystal structure of CaZrWO6, computed with PBE with a Hubbard U.

The structure belongs to space group P-31c (No. 163); the cell edges are 5.4155, 5.4155 and 9.9704 Å and the angles 90.00°, 90.00° and 120.00°. The distinct sites, in fractional coordinates, are Ca at (0.0000, 0.0000, 0.0000), Zr at (0.3333, 0.6667, 0.2500), W at (0.3333, 0.6667, 0.7500) and O at (0.0225, 0.3767, 0.6412).

The calculation puts the total energy at -0.295 Ha/atom. The value obtained for the density is 5.39 g/cm³. The calculation puts the total magnetization at 0.0000 μB/atom.